# meta-GGA SCAN TaFe2As, PBEsol geometry
# - energy relative to the elements (meV/atom) = 97
data_TaFe2As
_chemical_formula_sum 'Ta1 Fe2 As1'
_space_group_name_H-M_alt 'P 1'
_space_group_IT_number 1
_cell_length_a 2.813
_cell_length_b 2.813
_cell_length_c 6.400
_cell_angle_alpha 90.00
_cell_angle_beta 90.00
_cell_angle_gamma 90.00
loop_
_space_group_symop_operation_xyz
'x,y,z'
loop_
_atom_site_label
_atom_site_type_symbol
_atom_site_fract_x
_atom_site_fract_y
_atom_site_fract_z
Ta1 Ta 0.500 0.500 0.000
As1 As 0.500 0.500 0.500
Fe1 Fe 0.000 0.000 0.711
Fe2 Fe 0.000 0.000 0.289

# meta-GGA SCAN ZnSeBr2, PBEsol geometry
# - raw formation energy (eV per formula unit) = -1.39
data_ZnSeBr2
_chemical_formula_sum 'Zn1 Se1 Br2'
_space_group_name_H-M_alt 'P 1'
_space_group_IT_number 1
_cell_length_a 3.559
_cell_length_b 5.130
_cell_length_c 7.148
_cell_angle_alpha 111.03
_cell_angle_beta 104.42
_cell_angle_gamma 90.00
loop_
_space_group_symop_operation_xyz
'x,y,z'
loop_
_atom_site_label
_atom_site_type_symbol
_atom_site_fract_x
_atom_site_fract_y
_atom_site_fract_z
Se1 Se 0.636 0.636 0.272
Br1 Br 0.678 0.178 0.355
Zn1 Zn 0.276 0.776 0.553
Br2 Br 0.910 0.910 0.820

# meta-GGA SCAN BeHg2Sb, PBEsol geometry
# - polymorph energy (0 for the lowest one) (eV per atom) = 0.0000
# - raw formation energy (eV per formula unit) = 1.17
data_BeHg2Sb
_chemical_formula_sum 'Be2 Hg4 Sb2'
_space_group_name_H-M_alt 'P 1'
_space_group_IT_number 1
_cell_length_a 4.623
_cell_length_b 4.623
_cell_length_c 8.987
_cell_angle_alpha 104.90
_cell_angle_beta 104.90
_cell_angle_gamma 90.00
loop_
_space_group_symop_operation_xyz
'x,y,z'
loop_
_atom_site_label
_atom_site_type_symbol
_atom_site_fract_x
_atom_site_fract_y
_atom_site_fract_z
Be1 Be 0.500 0.500 0.000
Hg1 Hg 0.449 0.875 0.250
Hg2 Hg 0.801 0.375 0.250
Sb1 Sb 0.000 0.000 0.000
Sb2 Sb 0.250 0.750 0.500
Be2 Be 0.750 0.250 0.500
Hg3 Hg 0.125 0.199 0.750
Hg4 Hg 0.625 0.551 0.750

# meta-GGA SCAN Mg2Tl, PBEsol geometry
# - energy relative to the elements (meV/atom) = -90
data_Mg2Tl
_chemical_formula_sum 'Mg2 Tl1'
_space_group_name_H-M_alt 'P 1'
_space_group_IT_number 1
_cell_length_a 3.385
_cell_length_b 4.914
_cell_length_c 4.914
_cell_angle_alpha 120.00
_cell_angle_beta 90.00
_cell_angle_gamma 90.00
loop_
_space_group_symop_operation_xyz
'x,y,z'
loop_
_atom_site_label
_atom_site_type_symbol
_atom_site_fract_x
_atom_site_fract_y
_atom_site_fract_z
Mg1 Mg 0.279 0.667 0.333
Tl1 Tl 0.000 0.000 0.000
Mg2 Mg 0.721 0.333 0.667

# meta-GGA SCAN Ba5Sm8Mn4O21, PBEsol geometry
# - raw formation energy (eV per formula unit) = -120.80
data_Ba5Sm8Mn4O21
_chemical_formula_sum 'Ba5 Sm8 Mn4 O21'
_space_group_name_H-M_alt 'P 1'
_space_group_IT_number 1
_cell_length_a 5.796
_cell_length_b 10.304
_cell_length_c 10.304
_cell_angle_alpha 85.46
_cell_angle_beta 73.66
_cell_angle_gamma 73.66
loop_
_space_group_symop_operation_xyz
'x,y,z'
loop_
_atom_site_label
_atom_site_type_symbol
_atom_site_fract_x
_atom_site_fract_y
_atom_site_fract_z
Mn1 Mn 0.960 0.291 0.789
O1 O 0.901 0.592 0.114
O2 O 0.015 0.886 0.592
Ba1 Ba 0.862 0.605 0.672
O3 O 0.704 0.868 0.226
O4 O 0.930 0.774 0.868
Mn2 Mn 0.749 0.211 0.291
O5 O 0.493 0.114 0.408
Ba2 Ba 0.000 0.000 0.000
O6 O 0.202 0.868 0.226
Ba3 Ba 0.533 0.328 0.605
Mn3 Mn 0.040 0.709 0.211
Sm1 Sm 0.644 0.945 0.768
O7 O 0.607 0.408 0.886
Ba4 Ba 0.467 0.672 0.395
Mn4 Mn 0.251 0.789 0.709
O8 O 0.373 0.593 0.660
Sm2 Sm 0.588 0.768 0.055
O9 O 0.572 0.226 0.132
Sm3 Sm 0.832 0.923 0.414
O10 O 0.985 0.114 0.408
O11 O 0.428 0.774 0.868
Sm4 Sm 0.246 0.586 0.923
O12 O 0.627 0.407 0.340
O13 O 0.296 0.132 0.774
O14 O 0.070 0.226 0.132
Ba5 Ba 0.138 0.395 0.328
O15 O 0.393 0.592 0.114
Sm5 Sm 0.168 0.077 0.586
O16 O 0.099 0.408 0.886
O17 O 0.967 0.660 0.407
Sm6 Sm 0.754 0.414 0.077
Sm7 Sm 0.412 0.232 0.945
O18 O 0.507 0.886 0.592
O19 O 0.033 0.340 0.593
Sm8 Sm 0.356 0.055 0.232
O20 O 0.500 0.000 0.000
O21 O 0.798 0.132 0.774

# meta-GGA SCAN LaBe2Pt, PBEsol geometry
# - energy relative to the elements (meV/atom) = -29
data_LaBe2Pt
_chemical_formula_sum 'La1 Be2 Pt1'
_space_group_name_H-M_alt 'P 1'
_space_group_IT_number 1
_cell_length_a 4.626
_cell_length_b 4.626
_cell_length_c 4.626
_cell_angle_alpha 60.00
_cell_angle_beta 60.00
_cell_angle_gamma 60.00
loop_
_space_group_symop_operation_xyz
'x,y,z'
loop_
_atom_site_label
_atom_site_type_symbol
_atom_site_fract_x
_atom_site_fract_y
_atom_site_fract_z
Be1 Be 0.000 0.000 0.000
Pt1 Pt 0.750 0.750 0.750
Be2 Be 0.250 0.250 0.250
La1 La 0.500 0.500 0.500

# meta-GGA SCAN ZnIr2Os, PBEsol geometry
# - energy relative to the elements (meV/atom) = 47
data_ZnIr2Os
_chemical_formula_sum 'Zn1 Ir2 Os1'
_space_group_name_H-M_alt 'P 1'
_space_group_IT_number 1
_cell_length_a 2.701
_cell_length_b 4.646
_cell_length_c 4.676
_cell_angle_alpha 98.31
_cell_angle_beta 90.00
_cell_angle_gamma 106.90
loop_
_space_group_symop_operation_xyz
'x,y,z'
loop_
_atom_site_label
_atom_site_type_symbol
_atom_site_fract_x
_atom_site_fract_y
_atom_site_fract_z
Ir1 Ir 0.745 0.491 0.748
Os1 Os 0.000 0.000 0.500
Zn1 Zn 0.500 0.000 0.000
Ir2 Ir 0.255 0.509 0.252

# meta-GGA SCAN Sr2SbMo, PBEsol geometry
# - raw formation energy (eV per formula unit) = 2.41
data_Sr2SbMo
_chemical_formula_sum 'Sr2 Sb1 Mo1'
_space_group_name_H-M_alt 'P 1'
_space_group_IT_number 1
_cell_length_a 3.451
_cell_length_b 3.451
_cell_length_c 10.721
_cell_angle_alpha 80.74
_cell_angle_beta 80.74
_cell_angle_gamma 60.00
loop_
_space_group_symop_operation_xyz
'x,y,z'
loop_
_atom_site_label
_atom_site_type_symbol
_atom_site_fract_x
_atom_site_fract_y
_atom_site_fract_z
Sr1 Sr 0.754 0.754 0.738
Sb1 Sb 0.000 0.000 0.000
Mo1 Mo 0.500 0.500 0.500
Sr2 Sr 0.246 0.246 0.262

The evaluated energy for the records listed, in turn: -30.662, -18.476, -44.193, -27.525, -23.104, -30.530, -56.852, -28.572 eV/atom.